(1)
A plane-wave DFT calculation with PBE was carried out for crystalline MnOs4Au at its relaxed geometry.

a b c (Å): 5.167 5.167 5.167
angles (deg): 60.00 60.00 60.00
Atoms (fractional coordinates):
Mn 0.000 0.000 0.000
Os 0.125 0.625 0.625
Os 0.625 0.125 0.625
Os 0.625 0.625 0.125
Os 0.625 0.625 0.625
Au 0.250 0.250 0.250

Its total energy is -8.789 eV/atom. Its symmetry is F-43m (216).

=====

(2)
A plane-wave DFT calculation with PBE was carried out for crystalline Mn2OsAu at its relaxed geometry.

a b c (Å): 2.883 4.560 9.004
angles (deg): 90.00 90.00 90.00
Atoms (fractional coordinates):
Mn 0.000 0.000 0.000
Mn 0.000 0.500 0.230
Mn 0.500 0.000 0.230
Mn 0.500 0.500 0.000
Os 0.000 0.500 0.777
Os 0.500 0.000 0.777
Au 0.000 0.000 0.490
Au 0.500 0.500 0.490

Its total energy is -7.798 eV/atom. Its symmetry is Cmm2 (35).

=====

(3)
A plane-wave DFT calculation with PBE was carried out for crystalline MnOsAu at its relaxed geometry.

a b c (Å): 2.826 3.622 8.788
angles (deg): 90.00 90.00 90.00
Atoms (fractional coordinates):
Mn 0.000 0.000 0.000
Mn 0.500 0.500 0.500
Os 0.000 0.000 0.628
Os 0.500 0.500 0.128
Au 0.000 0.000 0.318
Au 0.500 0.500 0.818

Its total energy is -7.527 eV/atom. Its symmetry is Imm2 (44). Its energy above the most stable polymorph in this dataset is 92 meV/atom.

=====

(4)
A plane-wave DFT calculation with PBE was carried out for crystalline MnOsRuAu2 at its relaxed geometry.

a b c (Å): 5.015 5.015 4.566
angles (deg): 90.00 90.00 90.00
Atoms (fractional coordinates):
Mn 0.000 0.000 0.000
Os 0.500 0.500 0.000
Ru 0.500 0.500 0.500
Au 0.000 0.500 0.500
Au 0.500 0.000 0.500

Its total energy is -5.692 eV/atom. Its symmetry is P4/mmm (123).

=====

(5)
A plane-wave DFT calculation with PBE was carried out for crystalline MnOs2AuSe at its relaxed geometry.

a b c (Å): 4.505 4.505 4.828
angles (deg): 90.00 90.00 90.00
Atoms (fractional coordinates):
Mn 0.000 0.000 0.000
Os 0.000 0.500 0.500
Os 0.500 0.000 0.500
Au 0.500 0.500 0.000
Se 0.500 0.500 0.500

Its total energy is -5.695 eV/atom. The value obtained for the energy relative to the elements, uncorrected is 1983 meV/atom. Its symmetry is P4/mmm (123).

=====

(6)
A plane-wave DFT calculation with PBE was carried out for crystalline ZrMn2OsAu at its relaxed geometry.

a b c (Å): 4.524 4.524 5.008
angles (deg): 90.00 90.00 90.00
Atoms (fractional coordinates):
Zr 0.000 0.000 0.000
Mn 0.000 0.500 0.000
Mn 0.500 0.000 0.000
Os 0.500 0.500 0.500
Au 0.000 0.000 0.500

Its total energy is -6.308 eV/atom. Its symmetry is P4/mmm (123).

=====

(7)
A plane-wave DFT calculation with PBE was carried out for crystalline Mn2PAu at its relaxed geometry.

a b c (Å): 4.289 4.289 3.370
angles (deg): 90.00 90.00 90.00
Atoms (fractional coordinates):
Mn 0.000 0.500 0.000
Mn 0.500 0.000 0.000
P 0.000 0.000 0.500
Au 0.500 0.500 0.500

Its total energy is -6.638 eV/atom. Its symmetry is P4/mmm (123).

=====

(8)
A plane-wave DFT calculation with PBE was carried out for crystalline MnPAu2 at its relaxed geometry.

a b c (Å): 6.453 6.453 6.453
angles (deg): 90.00 90.00 90.00
Atoms (fractional coordinates):
Mn 0.000 0.000 0.000
Mn 0.000 0.500 0.500
Mn 0.500 0.000 0.500
Mn 0.500 0.500 0.000
P 0.250 0.250 0.250
P 0.250 0.750 0.750
P 0.750 0.250 0.750
P 0.750 0.750 0.250
Au 0.000 0.000 0.500
Au 0.000 0.500 0.000
Au 0.250 0.250 0.750
Au 0.250 0.750 0.250
Au 0.500 0.000 0.000
Au 0.500 0.500 0.500
Au 0.750 0.250 0.250
Au 0.750 0.750 0.750

Its total energy is -5.033 eV/atom. Its symmetry is F-43m (216).

=====

(9)
A plane-wave DFT calculation with PBE was carried out for crystalline Mn2PAu at its relaxed geometry.

a b c (Å): 3.721 3.721 8.730
angles (deg): 90.00 90.00 90.00
Atoms (fractional coordinates):
Mn 0.000 0.000 0.000
Mn 0.000 0.500 0.250
Mn 0.500 0.000 0.750
Mn 0.500 0.500 0.500
P 0.000 0.000 0.500
P 0.500 0.500 0.000
Au 0.000 0.500 0.750
Au 0.500 0.000 0.250

Its total energy is -6.617 eV/atom. Its symmetry is I-4m2 (119).

=====

(10)
A plane-wave DFT calculation with PBE was carried out for crystalline MnPAu2 at its relaxed geometry.

a b c (Å): 3.860 3.872 4.503
angles (deg): 90.00 90.00 90.00
Atoms (fractional coordinates):
Mn 0.000 0.000 0.000
P 0.500 0.500 0.000
Au 0.000 0.500 0.500
Au 0.500 0.000 0.500

Its total energy is -5.125 eV/atom. Its symmetry is Pmmm (47).

=====

(11)
A plane-wave DFT calculation with PBE was carried out for crystalline MnP2Au at its relaxed geometry.

a b c (Å): 3.260 3.260 5.732
angles (deg): 90.00 90.00 90.00
Atoms (fractional coordinates):
Mn 0.000 0.000 0.000
P 0.000 0.000 0.398
P 0.500 0.500 0.074
Au 0.500 0.500 0.635

Its total energy is -5.676 eV/atom. Its symmetry is P4mm (99). Its energy above the most stable polymorph in this dataset is 350 meV/atom.

=====

(12)
A plane-wave DFT calculation with PBE was carried out for crystalline MnPAu2 at its relaxed geometry.

a b c (Å): 2.898 2.898 25.834
angles (deg): 90.00 90.00 120.00
Atoms (fractional coordinates):
Mn 0.000 0.000 0.000
Mn 0.333 0.667 0.667
Mn 0.667 0.333 0.333
P 0.000 0.000 0.723
P 0.333 0.667 0.390
P 0.667 0.333 0.057
Au 0.000 0.000 0.248
Au 0.000 0.000 0.485
Au 0.333 0.667 0.151
Au 0.333 0.667 0.915
Au 0.667 0.333 0.581
Au 0.667 0.333 0.818

Its total energy is -5.190 eV/atom. Its symmetry is R3m (160).